1.
Density functional theory data (SCAN) for a crystal of BaAlRh2 relaxed with PBEsol.

**ΔE_f**: -0.07 eV/atom
**Fermi-level density of states**: 4.61 states/eV per cell
**Offset from the most stable computed form**: 0 meV/atom
**Mass density**: 7759 kg/m³
**Spin magnetization**: 0.00 μB/f.u.

Cell lengths 4.1010, 5.3918, 7.1651 Å; angles 90.00, 90.00, 90.00 degrees
Space group Immm (No. 71)
Symmetry-distinct sites (fractional):
Ba (0.0000, 0.0000, 0.0000) [2 per cell]
Al (0.0000, 0.0000, 0.5000) [2 per cell]
Rh (0.0000, 0.5000, 0.2031) [4 per cell]

2.
Density functional theory data (SCAN) for a crystal of MnBe2Os relaxed with PBEsol.

**ΔE_f**: 0.04 eV/atom
**Fermi-level density of states**: 4.64 states/eV per cell
**Mass density**: 10098 kg/m³
**Spin magnetization**: 2.14 μB/f.u.

Cell lengths 2.7902, 4.1891, 7.4058 Å; angles 90.00, 90.00, 90.00 degrees
Space group Cmmm (No. 65)
Symmetry-distinct sites (fractional):
Mn (0.0000, 0.0000, 0.0000) [2 per cell]
Be (0.0000, 0.5000, 0.2414) [4 per cell]
Os (0.0000, 0.0000, 0.5000) [2 per cell]